An optimized crystal structure of CrP2HO. Source: the Alexandria database, functional PBE with a Hubbard U. Values from VASP.

```
&SYSTEM
  ibrav = 0, nat = 5, ntyp = 4
/
ATOMIC_SPECIES
Cr 52.00 Cr.upf
P 30.97 P.upf
H 1.01 H.upf
O 16.00 O.upf
ATOMIC_POSITIONS crystal
Cr 0.0000 0.0000 0.0000
P 0.0000 0.5000 0.0000
P 0.5000 0.0000 0.0000
H 0.5000 0.5000 0.5000
O 0.0000 0.0000 0.5000
CELL_PARAMETERS angstrom
4.5309 0.0000 0.0000
0.0000 4.5309 0.0000
0.0000 0.0000 3.5108
```

Energy relative to the lowest polymorph listed for this composition = 0.491 eV/atom
Theoretical density = 3.0 Mg/m³